# 1
Material: BaYFe2O5
Method: DFT, meta-GGA SCAN
State: PBEsol geometry

ΔE_f (raw) ... -2527 meV per atom
Energy ... -157.56 eV for the cell shown
Calculated volume ... 108.3 Å³/cell
Crystal system ... tetragonal
Fermi-level density of states ... 0.27 states/eV per atom
Symmetry ... P4/mmm (123)

abc: 3.8575 3.8575 7.2797
angles: 90.00 90.00 90.00
Each line ends with the local moment (μB).
Fractional coordinates of all 9 atoms:
O 0.5000 0.0000 0.6944  0.16
O 0.0000 0.5000 0.3056  0.16
O 0.0000 0.5000 0.6944  0.16
O 0.5000 0.0000 0.3056  0.16
O 0.5000 0.5000 0.0000  0.27
Fe 0.5000 0.5000 0.2771  3.71
Fe 0.5000 0.5000 0.7229  3.71
Ba 0.0000 0.0000 0.0000  -0.01
Y 0.0000 0.0000 0.5000  -0.04

# 2
Material: BaZrGeIr2
Method: DFT, meta-GGA SCAN
State: PBEsol geometry

DFT formation energy ... 0.373 eV/atom
Energy ... -229.67 eV for the cell shown
Calculated volume ... 126.8 Å³/cell
Crystal system ... tetragonal
Fermi-level density of states ... 0.85 states/eV per atom
Symmetry ... P4/mmm (123)

abc: 4.9463 4.9463 5.1839
angles: 90.00 90.00 90.00
Fractional coordinates of all 5 atoms:
Zr 0.0000 0.0000 0.0000
Ba 0.5000 0.5000 0.5000
Ge 0.0000 0.0000 0.5000
Ir 0.5000 0.0000 0.0000
Ir 0.0000 0.5000 0.0000